# Tb2HfPt9 (PBE, relaxed)
# N(E_F) (states/eV/cell): 8.0
# Total magnetic moment (μB per formula unit): 0.00
# ΔH_f (0 K) (eV/atom): -1.065
data_Tb2HfPt9
_symmetry_space_group_name_H-M 'P 4/m m m'
_symmetry_Int_Tables_number 123
_symmetry_space_group_name_Hall '-P 4 2'
_cell_length_a 4.0955
_cell_length_b 4.0955
_cell_length_c 12.2912
_cell_angle_alpha 90.00
_cell_angle_beta 90.00
_cell_angle_gamma 90.00
loop_
_atom_site_label
_atom_site_type_symbol
_atom_site_fract_x
_atom_site_fract_y
_atom_site_fract_z
Tb1 Tb 0.0000 0.0000 0.1674
Hf1 Hf 0.0000 0.0000 0.5000
Pt1 Pt 0.0000 0.5000 0.0000
Pt2 Pt 0.0000 0.5000 0.3417
Pt3 Pt 0.5000 0.5000 0.1709
Pt4 Pt 0.5000 0.5000 0.5000